1.
Entry from OQMD: a relaxed structure of Pu2SeS3 (PBE).

Output
calculated volume = 270.5 Å³/cell
total energy = -8.53 eV per atom
offset from the most stable computed form = 214 meV/atom

Lattice parameters (Å, degrees): 10.7948 10.7948 6.6431 90.01 90.01 20.45
Closest atoms and distances in Å follow each position.
Atoms (fractional coordinates):
Pu 0.5019 0.5019 0.4141  5 S 2.70, 1 Se 2.85
Pu 0.0022 0.0022 0.9230  4 S 2.69-2.70, 2 Se 2.84
S 0.9280 0.9280 0.2523  3 Pu 2.70
S 0.0761 0.0761 0.2526  3 Pu 2.69-2.70
S 0.5727 0.5727 0.7508  3 Pu 2.69-2.70
Se 0.4191 0.4191 0.7512  3 Pu 2.84-2.85

***

2.
Entry from OQMD: a relaxed structure of PuSe2S (PBE).

Output
calculated volume = 185.1 Å³/cell
total energy = -7.43 eV per atom
offset from the most stable computed form = 0 meV/atom

Lattice parameters (Å, degrees): 12.3217 12.3217 3.9011 90.00 90.00 161.79
Closest atoms and distances in Å follow each position.
Atoms (fractional coordinates):
Pu 0.8201 0.1799 0.2500  5 S 2.81-2.82, 4 Se 3.05
Pu 0.1799 0.8201 0.7500  5 S 2.81-2.82, 4 Se 3.05
S 0.7047 0.2953 0.2500  5 Pu 2.81-2.82
S 0.2953 0.7047 0.7500  5 Pu 2.81-2.82
Se 0.4164 0.5836 0.2500  4 Se 2.76, 2 Pu 3.05
Se 0.0836 0.9164 0.2500  4 Se 2.76, 2 Pu 3.05
Se 0.9164 0.0836 0.7500  4 Se 2.76, 2 Pu 3.05
Se 0.5836 0.4164 0.7500  4 Se 2.76, 2 Pu 3.05

***

3.
Entry from OQMD: a relaxed structure of Pu2SeS3 (PBE).

Output
calculated volume = 171.4 Å³/cell
total energy = -8.74 eV per atom
offset from the most stable computed form = 1 meV/atom

Lattice parameters (Å, degrees): 6.0790 4.0367 6.9856 90.00 90.11 90.00
Closest atoms and distances in Å follow each position.
Atoms (fractional coordinates):
Pu 0.0097 0.5000 0.0036  4 S 2.66, 2 Se 2.81
Pu 0.0060 0.0000 0.4964  5 S 2.67, 1 Se 2.83
S 0.2269 0.0000 0.1656  3 Pu 2.66-2.67
S 0.7889 0.5000 0.3317  3 Pu 2.66-2.67
S 0.2165 0.5000 0.6680  3 Pu 2.66-2.67
Se 0.7519 0.0000 0.8348  3 Pu 2.81-2.83

***

4.
Entry from OQMD: a relaxed structure of Pu2SeS3 (PBE).

Output
calculated volume = 334.9 Å³/cell
total energy = -8.75 eV per atom
offset from the most stable computed form = 0 meV/atom

Lattice parameters (Å, degrees): 6.3386 8.1256 8.1286 60.05 89.27 70.19
Closest atoms and distances in Å follow each position.
Atoms (fractional coordinates):
Pu 0.4860 0.0035 0.2421  4 S 2.66, 2 Se 2.81-2.82
Pu 0.5127 0.4977 0.2511  5 S 2.67-2.68, 1 Se 2.84
Pu 0.4873 0.5023 0.7489  5 S 2.67-2.68, 1 Se 2.84
Pu 0.5140 0.9965 0.7579  4 S 2.66, 2 Se 2.81-2.82
S 0.7133 0.2526 0.1166  3 Pu 2.66-2.68
S 0.7295 0.7566 0.1252  3 Pu 2.66-2.67
S 0.2758 0.7406 0.3769  3 Pu 2.66-2.68
S 0.7242 0.2594 0.6231  3 Pu 2.66-2.68
S 0.2705 0.2434 0.8748  3 Pu 2.66-2.67
S 0.2867 0.7474 0.8834  3 Pu 2.66-2.68
Se 0.2460 0.2537 0.3823  3 Pu 2.81-2.84
Se 0.7540 0.7463 0.6177  3 Pu 2.81-2.84